# 1
Density functional theory data (PBE) for La3Pm8Er2 after structural relaxation.

abc: 5.7975 7.7676 10.9821
angles: 110.71 90.04 90.00
Sites, in units of the cell vectors:
Pm1 0.5004 0.8181 0.2189
Pm2 0.9994 0.1366 0.2731
Pm3 0.5004 0.4008 0.2189
Pm4 0.0006 0.8634 0.7269
Pm5 0.0015 0.6762 0.3524
Pm6 0.4996 0.1819 0.7811
Pm7 0.9985 0.3238 0.6476
Pm8 0.4996 0.5992 0.7811
La1 0.0000 0.2938 0.0000
La2 0.0000 0.7062 0.0000
La3 0.5000 0.0000 0.0000
Er1 0.4983 0.2413 0.4826
Er2 0.5017 0.7587 0.5174

Output
- N(E_F): 20.9 states/eV/f.u.
- E_form: 0.221 eV/atom
- Crystal system: monoclinic
- Offset from the most stable computed form: 0.075 eV/atom



# 2
Density functional theory data (PBE) for Hg2C after structural relaxation.

abc: 4.6936 4.6936 3.1304
angles: 90.00 90.00 94.21
Site moments in Bohr magnetons follow the coordinates.
Sites, in units of the cell vectors:
Hg1 0.3069 0.6931 0.0000  0.01
Hg2 0.6931 0.3069 0.0000  0.01
C1 0.0000 0.0000 0.0000  0.25

Output
- N(E_F): 1.2 states/eV/f.u.
- E_form: 1.764 eV/atom
- Crystal system: orthorhombic
- Offset from the most stable computed form: 1.292 eV/atom



# 3
Density functional theory data (PBE) for Pr6Dy2TmTh after structural relaxation.

abc: 9.7815 8.9222 8.9222
angles: 116.15 94.20 94.20
Sites, in units of the cell vectors:
Dy1 0.0510 0.2899 0.2003
Dy2 0.9490 0.7101 0.7997
Dy3 0.5510 0.2003 0.2899
Dy4 0.4490 0.7997 0.7101
Th1 0.7500 0.0285 0.9715
Th2 0.2500 0.9715 0.0285
Pr1 0.5575 0.7602 0.1096
Pr2 0.0575 0.1096 0.7602
Pr3 0.8824 0.2989 0.5128
Pr4 0.1899 0.5740 0.0062
Pr5 0.8101 0.4260 0.9938
Pr6 0.3101 0.9938 0.4260
Pr7 0.1176 0.7011 0.4872
Pr8 0.6176 0.4872 0.7011
Pr9 0.9425 0.8904 0.2398
Pr10 0.3824 0.5128 0.2989
Pr11 0.4425 0.2398 0.8904
Pr12 0.6899 0.0062 0.5740
Tm1 0.7500 0.5906 0.4094
Tm2 0.2500 0.4094 0.5906

Output
- N(E_F): 14.1 states/eV/f.u.
- E_form: 0.143 eV/atom
- Crystal system: monoclinic



# 4
Density functional theory data (PBE) for ScSnBC2 after structural relaxation.

abc: 3.7860 4.5040 3.7860
angles: 90.00 90.00 90.00
Sites, in units of the cell vectors:
Sc1 0.0000 0.5000 0.0000
C1 0.0000 0.0000 0.5000
C2 0.5000 0.0000 0.0000
B1 0.0000 0.0000 0.0000
Sn1 0.5000 0.5000 0.5000

Output
- N(E_F): 2.6 states/eV/f.u.
- E_form: 1.597 eV/atom
- Crystal system: tetragonal



# 5
Density functional theory data (PBE) for CsNpAu2Se4 after structural relaxation.

abc: 5.6381 7.6008 7.6008
angles: 78.43 68.23 68.23
Site moments in Bohr magnetons follow the coordinates.
Sites, in units of the cell vectors:
Se1 0.8602 0.5079 0.1486  -0.15
Se2 0.4834 0.1486 0.5079  -0.15
Se3 0.5166 0.4921 0.8514  -0.15
Se4 0.1398 0.8514 0.4921  -0.15
Cs1 0.0000 0.0000 0.0000  0.00
Au1 0.1500 0.3500 0.3500  -0.05
Au2 0.8500 0.6500 0.6500  -0.05
Np1 0.5000 0.5000 0.5000  2.90

Output
- N(E_F): 9.7 states/eV/f.u.
- Formation energy (no corrections): -0.550 eV per atom
- Crystal system: orthorhombic



# 6
Density functional theory data (PBE) for Nb3H3Pd after structural relaxation.

abc: 5.4128 5.4128 5.4128
angles: 90.00 90.00 90.00
Sites, in units of the cell vectors:
H1 0.0000 0.5000 0.7500
H2 0.7500 0.0000 0.5000
H3 0.5000 0.2500 0.0000
H4 0.2500 0.0000 0.5000
H5 0.5000 0.7500 0.0000
H6 0.0000 0.5000 0.2500
Nb1 0.2500 0.5000 0.0000
Nb2 0.7500 0.5000 0.0000
Nb3 0.5000 0.0000 0.7500
Nb4 0.0000 0.7500 0.5000
Nb5 0.0000 0.2500 0.5000
Nb6 0.5000 0.0000 0.2500
Pd1 0.5000 0.5000 0.5000
Pd2 0.0000 0.0000 0.0000

Output
- N(E_F): 5.7 states/eV/f.u.
- Crystal system: cubic



# 7
Density functional theory data (PBE) for InPtBr after structural relaxation.

abc: 3.9521 3.9521 5.4159
angles: 90.00 90.00 120.00
Sites, in units of the cell vectors:
Pt1 0.3333 0.6667 0.6385
Br1 0.0000 0.0000 0.9630
In1 0.6667 0.3333 0.3985

Output
- N(E_F): 0.1 states/eV/f.u.
- Formation energy (no corrections): -0.200 eV per atom
- Crystal system: trigonal
- Offset from the most stable computed form: 0.000 eV/atom



# 8
Density functional theory data (PBE) for ZnHgOF2 after structural relaxation.

abc: 3.9540 3.9540 4.2105
angles: 90.00 90.00 90.00
Sites, in units of the cell vectors:
F1 0.0000 0.5000 0.0000
F2 0.5000 0.0000 0.0000
Hg1 0.5000 0.5000 0.5000
Zn1 0.0000 0.0000 0.0000
O1 0.0000 0.0000 0.5000

Output
- N(E_F): 0.9 states/eV/f.u.
- Formation energy (no corrections): -1.201 eV per atom
- Crystal system: tetragonal
- Offset from the most stable computed form: 0.000 eV/atom



Quick rundown of total magnetic moment, same order as above: 0.000 0.163 0.000 0.000 0.245 0.000 0.000 0.000 μB per atom
Quick rundown of theoretical density, same order as above: 6.86 9.98 7.54 5.11 6.40 8.13 8.84 8.07 g/cm3
Quick rundown of total energy, same order as above: -4.54 -1.51 -4.83 -5.50 -4.84 -6.69 -3.68 -3.26 eV per atom